Entry from Alexandria: crystalline Zn2In12Hg5 at its relaxed geometry (GGA-PBE).

Results
total magnetic moment = 0.00 μB per cell
calculated volume = 25.92 Å³/atom
E_form = 0.039 eV per atom
calculated density = 8.47 g/cm3

a = 5.911 Å, b = 9.935 Å, c = 9.935 Å
α = 59.25°, β = 80.58°, γ = 80.58°
Fractional coordinates of all 19 atoms:
1 Zn 0.000 0.750 0.250
2 Zn 0.000 0.250 0.750
3 In 0.732 0.547 0.547
4 In 0.268 0.453 0.453
5 In 0.786 0.466 0.913
6 In 0.648 0.634 0.170
7 In 0.352 0.366 0.830
8 In 0.952 0.095 0.095
9 In 0.786 0.913 0.466
10 In 0.352 0.830 0.366
11 In 0.214 0.534 0.087
12 In 0.648 0.170 0.634
13 In 0.214 0.087 0.534
14 In 0.048 0.905 0.905
15 Hg 0.409 0.194 0.194
16 Hg 0.840 0.288 0.288
17 Hg 0.591 0.806 0.806
18 Hg 0.500 0.000 0.000
19 Hg 0.160 0.712 0.712